1.
Density functional theory data (PBE) for TaCo3Pt after structural relaxation.

For the energy above the most stable polymorph in this dataset, the calculation gives 0 meV/atom. The value obtained for the formation energy is -154.7 meV per atom.

The space group is P2_1/m (No. 11) and the conventional cell measures 4.6296, 4.7230 and 6.4538 Å, with angles of 90.00, 109.39 and 90.00 degrees. The inequivalent atoms are Ta at (0.0680, 0.2500, 0.3507), Co at (0.3492, 0.7500, 0.4666), Co at (0.4836, 0.0007, 0.8058) and Pt at (0.0543, 0.2500, 0.9044).

2.
Density functional theory data (PBE) for Cd4Ir3 after structural relaxation.

The value obtained for the formation energy is 167.3 meV per atom.

The space group is I4/mmm (No. 139) and the conventional cell measures 2.9240, 2.9240 and 29.4419 Å, with angles of 90.00, 90.00 and 90.00 degrees. The inequivalent atoms are Cd at (0.0000, 0.0000, 0.0667), Cd at (0.0000, 0.0000, 0.3486), Ir at (0.0000, 0.0000, 0.2212) and Ir at (0.0000, 0.0000, 0.5000).

Which total moment belongs to each record? In order, 0.660, 0.000 μB/atom.